# LiCaNdRu | Alexandria | PBE | optimized geometry
# Final energy: -17.957 eV/f.u.
# Formation energy from the elements: 1 meV/atom
# Size of the total moment: 0.0 μB/cell
data_LiCaNdRu
_cell_length_a 7.129
_cell_length_b 7.129
_cell_length_c 7.129
_cell_angle_alpha 90.00
_cell_angle_beta 90.00
_cell_angle_gamma 90.00
_symmetry_space_group_name_H-M 'F -4 3 m'
_symmetry_Int_Tables_number 216
_symmetry_space_group_name_Hall 'F -4 2 3'
loop_
_atom_site_label
_atom_site_fract_x
_atom_site_fract_y
_atom_site_fract_z
_atom_site_occupancy
Li1 0.000 0.000 0.000 1
Ca1 0.250 0.250 0.250 1
Nd1 0.250 0.250 0.750 1
Ru1 0.000 0.000 0.500 1